SCAN AlAs2SeCl, single point on PBEsol structure; M_tot = 0.00 μB per formula unit; uncorrected formation energy = 0.378 eV/atom; symmetry = P4/mmm; uncorrected energy = -14.860 eV/atom
1.0
4.864 0.000 0.000
0.000 4.864 0.000
0.000 0.000 4.704
Al As Se Cl
1 2 1 1
direct
0.000 0.000 0.000
0.000 0.500 0.000
0.500 0.000 0.000
0.000 0.000 0.500
0.500 0.500 0.500